# AcDy2Hg (PBE, optimized geometry)
# Energy above the most stable polymorph in this dataset in eV/atom: 0.056
# D(E_F) in states/eV/cell: 11.5
# ΔE_f in meV per atom: -148
data_AcDy2Hg
_chemical_formula_sum 'Ac3 Dy6 Hg3'
_symmetry_space_group_name_H-M 'R -3 m'
_symmetry_Int_Tables_number 166
_symmetry_space_group_name_Hall '-R 3 2"'
_cell_length_a 3.7506
_cell_length_b 3.7506
_cell_length_c 32.1817
_cell_angle_alpha 90.00
_cell_angle_beta 90.00
_cell_angle_gamma 120.00
loop_
_atom_site_label
_atom_site_type_symbol
_atom_site_fract_x
_atom_site_fract_y
_atom_site_fract_z
_atom_site_occupancy
Ac1 Ac 0.0000 0.0000 0.0000 1
Dy1 Dy 0.0000 0.0000 0.2385 1
Hg1 Hg 0.0000 0.0000 0.5000 1


# SrLiAsO4 (PBE, optimized geometry)
# Formation energy (no corrections) in eV/atom: -2.061
# D(E_F) in states/eV/cell: 0.0
data_SrLiAsO4
_chemical_formula_sum 'Sr2 Li2 As2 O8'
_symmetry_space_group_name_H-M 'I -4'
_symmetry_Int_Tables_number 82
_cell_length_a 5.511
_cell_length_b 5.511
_cell_length_c 7.700
_cell_angle_alpha 90.00
_cell_angle_beta 90.00
_cell_angle_gamma 90.00
loop_
_symmetry_equiv_pos_as_xyz
'x,y,z'
'y,-x,-z'
'-x,-y,z'
'-y,x,-z'
'x+1/2,y+1/2,z+1/2'
'y+1/2,-x+1/2,-z+1/2'
'-x+1/2,-y+1/2,z+1/2'
'-y+1/2,x+1/2,-z+1/2'
loop_
_atom_site_label
_atom_site_type_symbol
_atom_site_fract_x
_atom_site_fract_y
_atom_site_fract_z
_atom_site_occupancy
Sr1 Sr 0.000 0.000 0.000 1
Li1 Li 0.000 0.000 0.500 1
As1 As 0.000 0.500 0.750 1
O1 O 0.148 0.283 0.628 1


# AlTlCr4 (PBE, optimized geometry)
# D(E_F) in states/eV/cell: 24.8
# ΔE_f in meV per atom: 452
data_AlTlCr4
_chemical_formula_sum 'Al4 Tl4 Cr16'
_symmetry_space_group_name_H-M 'F -4 3 m'
_symmetry_Int_Tables_number 216
_symmetry_space_group_name_Hall 'F -4 2 3'
_cell_length_a 6.983
_cell_length_b 6.983
_cell_length_c 6.983
_cell_angle_alpha 90.00
_cell_angle_beta 90.00
_cell_angle_gamma 90.00
loop_
_atom_site_label
_atom_site_type_symbol
_atom_site_fract_x
_atom_site_fract_y
_atom_site_fract_z
_atom_site_occupancy
Al1 Al 0.000 0.000 0.000 1
Tl1 Tl 0.250 0.250 0.250 1
Cr1 Cr 0.125 0.125 0.625 1


# Ca3Si (PBE, optimized geometry)
# Energy above the most stable polymorph in this dataset in eV/atom: 0.417
# Formation energy (no corrections) in eV/atom: 0.128
# D(E_F) in states/eV/cell: 12.9
data_Ca3Si
_chemical_formula_sum 'Ca9 Si3'
_symmetry_space_group_name_H-M 'R -3 m'
_symmetry_Int_Tables_number 166
_symmetry_space_group_name_Hall '-R 3 2"'
_cell_length_a 11.0721
_cell_length_b 11.0721
_cell_length_c 3.4515
_cell_angle_alpha 90.00
_cell_angle_beta 90.00
_cell_angle_gamma 120.00
loop_
_atom_site_label
_atom_site_type_symbol
_atom_site_fract_x
_atom_site_fract_y
_atom_site_fract_z
_atom_site_occupancy
Ca1 Ca 0.0000 0.5000 0.0000 1
Si1 Si 0.0000 0.0000 0.0000 1


Number 1: volume 392 Å³/cell. Number 2: volume 234 Å³/cell. Number 3: volume 340 Å³/cell. Number 4: volume 366 Å³/cell.